Entry 1:
The following is a DFT calculation (PBE) of a relaxed BiPdPt2 crystal.

a = 6.6109 Å, b = 6.6109 Å, c = 6.6109 Å
α = 90.00°, β = 90.00°, γ = 90.00°
Last column: nearest neighbours and their distance in Å.
Atoms (fractional coordinates):
1 Bi 0.0000 0.0000 0.0000  4 Pt 2.86, 4 Pd 2.86
2 Bi 0.0000 0.5000 0.5000  4 Pt 2.86, 4 Pd 2.86
3 Bi 0.5000 0.0000 0.5000  4 Pt 2.86, 4 Pd 2.86
4 Bi 0.5000 0.5000 0.0000  4 Pt 2.86, 4 Pd 2.86
5 Pd 0.2500 0.2500 0.2500  4 Bi 2.86, 4 Pt 2.86
6 Pd 0.2500 0.7500 0.7500  4 Bi 2.86, 4 Pt 2.86
7 Pd 0.7500 0.2500 0.7500  4 Bi 2.86, 4 Pt 2.86
8 Pd 0.7500 0.7500 0.2500  4 Bi 2.86, 4 Pt 2.86
9 Pt 0.0000 0.0000 0.5000  4 Pd 2.86, 4 Pt 2.86
10 Pt 0.0000 0.5000 0.0000  4 Pd 2.86, 4 Pt 2.86
11 Pt 0.2500 0.2500 0.7500  4 Bi 2.86, 4 Pt 2.86
12 Pt 0.2500 0.7500 0.2500  4 Bi 2.86, 4 Pt 2.86
13 Pt 0.5000 0.0000 0.0000  4 Pd 2.86, 4 Pt 2.86
14 Pt 0.5000 0.5000 0.5000  4 Pd 2.86, 4 Pt 2.86
15 Pt 0.7500 0.2500 0.2500  4 Bi 2.86, 4 Pt 2.86
16 Pt 0.7500 0.7500 0.7500  4 Bi 2.86, 4 Pt 2.86

Summary:
- E_tot (eV per cell) = -86.71
- crystal system = cubic

***

Entry 2:
The following is a DFT calculation (PBE) of a relaxed Bi4PdPt crystal.

a = 4.8366 Å, b = 4.8366 Å, c = 6.8489 Å
α = 90.00°, β = 90.00°, γ = 90.00°
Last column: nearest neighbours and their distance in Å.
Atoms (fractional coordinates):
1 Bi 0.0000 0.5000 0.2505  2 Pt 2.96, 2 Pd 2.97
2 Bi 0.0000 0.5000 0.7495  2 Pt 2.96, 2 Pd 2.97
3 Bi 0.5000 0.0000 0.2505  2 Pt 2.96, 2 Pd 2.97
4 Bi 0.5000 0.0000 0.7495  2 Pt 2.96, 2 Pd 2.97
5 Pd 0.0000 0.0000 0.0000  8 Bi 2.97
6 Pt 0.5000 0.5000 0.5000  8 Bi 2.96

Summary:
- E_tot (eV per cell) = -28.97
- crystal system = tetragonal

***

Entry 3:
The following is a DFT calculation (PBE) of a relaxed Bi2PdPt2 crystal.

a = 4.0733 Å, b = 4.0733 Å, c = 13.0995 Å
α = 90.00°, β = 90.00°, γ = 90.00°
Last column: nearest neighbours and their distance in Å.
Atoms (fractional coordinates):
1 Bi 0.0000 0.0000 0.1103  4 Pt 2.74, 1 Bi 2.89
2 Bi 0.0000 0.0000 0.8897  4 Pt 2.74, 1 Bi 2.89
3 Bi 0.5000 0.5000 0.3897  4 Pt 2.74, 1 Bi 2.89
4 Bi 0.5000 0.5000 0.6103  4 Pt 2.74, 1 Bi 2.89
5 Pd 0.0000 0.0000 0.5000  8 Bi 3.22
6 Pd 0.5000 0.5000 0.0000  8 Bi 3.22
7 Pt 0.0000 0.5000 0.2500  4 Bi 2.74, 4 Pt 2.88
8 Pt 0.0000 0.5000 0.7500  4 Bi 2.74, 4 Pt 2.88
9 Pt 0.5000 0.0000 0.2500  4 Bi 2.74, 4 Pt 2.88
10 Pt 0.5000 0.0000 0.7500  4 Bi 2.74, 4 Pt 2.88

Summary:
- E_tot (eV per cell) = -49.29
- crystal system = tetragonal

***

Entry 4:
The following is a DFT calculation (PBE) of a relaxed BiPd2Pt crystal.

a = 6.5872 Å, b = 6.5872 Å, c = 6.5872 Å
α = 90.00°, β = 90.00°, γ = 90.00°
Last column: nearest neighbours and their distance in Å.
Atoms (fractional coordinates):
1 Bi 0.0000 0.0000 0.0000  4 Pd 2.85, 4 Pt 2.85
2 Bi 0.0000 0.5000 0.5000  4 Pd 2.85, 4 Pt 2.85
3 Bi 0.5000 0.0000 0.5000  4 Pd 2.85, 4 Pt 2.85
4 Bi 0.5000 0.5000 0.0000  4 Pd 2.85, 4 Pt 2.85
5 Pd 0.0000 0.0000 0.5000  4 Pt 2.85, 4 Pd 2.85
6 Pd 0.0000 0.5000 0.0000  4 Pt 2.85, 4 Pd 2.85
7 Pd 0.2500 0.2500 0.7500  4 Bi 2.85, 4 Pd 2.85
8 Pd 0.2500 0.7500 0.2500  4 Bi 2.85, 4 Pd 2.85
9 Pd 0.5000 0.0000 0.0000  4 Pt 2.85, 4 Pd 2.85
10 Pd 0.5000 0.5000 0.5000  4 Pt 2.85, 4 Pd 2.85
11 Pd 0.7500 0.2500 0.2500  4 Bi 2.85, 4 Pd 2.85
12 Pd 0.7500 0.7500 0.7500  4 Bi 2.85, 4 Pd 2.85
13 Pt 0.2500 0.2500 0.2500  4 Bi 2.85, 4 Pd 2.85
14 Pt 0.2500 0.7500 0.7500  4 Bi 2.85, 4 Pd 2.85
15 Pt 0.7500 0.2500 0.7500  4 Bi 2.85, 4 Pd 2.85
16 Pt 0.7500 0.7500 0.2500  4 Bi 2.85, 4 Pd 2.85

Summary:
- E_tot (eV per cell) = -84.50
- crystal system = cubic

***

Entry 5:
The following is a DFT calculation (PBE) of a relaxed SrBi2PdPt crystal.

a = 4.9578 Å, b = 4.8448 Å, c = 10.9242 Å
α = 90.00°, β = 92.12°, γ = 90.00°
Last column: nearest neighbours and their distance in Å.
Atoms (fractional coordinates):
1 Sr 0.2360 0.2500 0.2372  3 Pd 3.27-3.56, 2 Bi 3.63
2 Sr 0.7640 0.7500 0.7628  3 Pd 3.27-3.56, 2 Bi 3.63
3 Bi 0.2532 0.7500 0.4971  4 Pt 2.82-2.86
4 Bi 0.2940 0.2500 0.8799  1 Pt 2.74, 4 Pd 2.77-2.85
5 Bi 0.7060 0.7500 0.1201  1 Pt 2.74, 4 Pd 2.77-2.85
6 Bi 0.7468 0.2500 0.5029  4 Pt 2.82-2.86
7 Pd 0.1875 0.7500 0.9991  4 Bi 2.77-2.85, 2 Pd 3.05
8 Pd 0.8125 0.2500 0.0009  4 Bi 2.77-2.85, 2 Pd 3.05
9 Pt 0.2527 0.2500 0.6296  5 Bi 2.74-2.86
10 Pt 0.7473 0.7500 0.3704  5 Bi 2.74-2.86

Summary:
- E_tot (eV per cell) = -48.02
- crystal system = monoclinic

***

Entry 6:
The following is a DFT calculation (PBE) of a relaxed Y2Bi2PdPt crystal.

a = 8.2499 Å, b = 4.7628 Å, c = 15.7896 Å
α = 90.00°, β = 100.02°, γ = 90.00°
Last column: nearest neighbours and their distance in Å.
Atoms (fractional coordinates):
1 Y 0.0000 0.0000 0.0000  3 Pt 2.92, 1 Pd 2.92
2 Y 0.0027 0.5000 0.5007  2 Pt 2.90-2.91, 2 Pd 2.93
3 Y 0.2487 0.0000 0.7491  3 Pt 2.91, 1 Pd 2.93
4 Y 0.2513 0.5000 0.2503  1 Pt 2.90, 3 Pd 2.91-2.92
5 Y 0.4980 0.0000 0.4987  2 Pt 2.91, 2 Pd 2.93
6 Y 0.5009 0.5000 0.9998  1 Pd 2.92, 3 Pt 2.92-2.93
7 Y 0.7494 0.0000 0.2493  4 Pd 2.91-2.92
8 Y 0.7522 0.5000 0.7501  2 Pt 2.90, 2 Pd 2.92
9 Bi 0.1236 0.0000 0.3742  2 Pd 2.89-2.90, 2 Pt 2.92
10 Bi 0.1260 0.5000 0.8751  4 Pt 2.91
11 Bi 0.3754 0.0000 0.1253  3 Pd 2.92, 1 Pt 2.94
12 Bi 0.3773 0.5000 0.6252  2 Pd 2.91, 2 Pt 2.93
13 Bi 0.6249 0.0000 0.8742  1 Pd 2.91, 3 Pt 2.92
14 Bi 0.6271 0.5000 0.3749  3 Pd 2.91, 1 Pt 2.93
15 Bi 0.8736 0.0000 0.6240  2 Pd 2.91, 2 Pt 2.93
16 Bi 0.8760 0.5000 0.1256  3 Pd 2.91, 1 Pt 2.94
17 Pd 0.0629 0.0000 0.1881  4 Bi 2.89-2.92, 4 Y 2.91-2.92
18 Pd 0.5632 0.0000 0.6873  4 Bi 2.91, 4 Y 2.92-2.93
19 Pd 0.5633 0.5000 0.1877  4 Y 2.91-2.92, 4 Bi 2.91-2.92
20 Pd 0.8134 0.0000 0.4371  4 Bi 2.90-2.91, 4 Y 2.92-2.93
21 Pt 0.0627 0.5000 0.6878  4 Y 2.90-2.91, 4 Bi 2.91-2.93
22 Pt 0.3120 0.0000 0.9365  4 Bi 2.91-2.94, 4 Y 2.91-2.93
23 Pt 0.3121 0.5000 0.4370  4 Y 2.90-2.91, 4 Bi 2.92-2.93
24 Pt 0.8133 0.5000 0.9366  4 Y 2.90-2.92, 4 Bi 2.91-2.94

Summary:
- E_tot (eV per cell) = -153.01
- crystal system = monoclinic